# 1
VASP calculation (PBE-GGA) on crystalline CdBi2Te2 at its relaxed geometry.

Output
The density of states at the Fermi level comes out at 3.99 states/eV/f.u. For the uncorrected formation energy, the calculation gives 2.30 kcal/mol of atoms. The calculated volume is 31.877 Å³/atom. For the energy, the calculation gives -2.892 eV per atom. For the total magnetization, the calculation gives 0.000 μB per cell. The offset from the most stable computed form comes out at 8.5 kJ/mol of atoms.

Cell: 8.665 8.665 4.245 Å, 90.00 90.00 90.00°
Space group P4/mbm (No. 127)
Symmetry-distinct sites (fractional):
Cd 0.000 0.000 0.000 x2
Bi 0.139 0.361 0.500 x4
Te 0.166 0.666 0.000 x4


# 2
VASP calculation (PBE-GGA) on crystalline Y2TeO6 at its relaxed geometry.

Output
The density of states at the Fermi level comes out at 0.00 states/eV/f.u. For the uncorrected formation energy, the calculation gives -57.76 kcal/mol of atoms. The calculated volume is 13.103 Å³/atom. For the energy, the calculation gives -7.596 eV per atom. For the total magnetization, the calculation gives 0.000 μB per cell.

Cell: 7.726 5.456 11.523 Å, 90.00 103.81 90.00°
Space group P2/c (No. 13)
Symmetry-distinct sites (fractional):
Y 0.000 0.188 0.250 x2
Y 0.286 0.310 0.923 x4
Y 0.500 0.244 0.250 x2
Te 0.228 0.243 0.616 x4
O 0.006 0.128 0.884 x4
O 0.141 0.351 0.452 x4
O 0.207 0.479 0.225 x4
O 0.294 0.050 0.771 x4
O 0.347 0.041 0.069 x4
O 0.443 0.443 0.606 x4


# 3
VASP calculation (PBE-GGA) on crystalline DyHo4In2 at its relaxed geometry.

Output
The density of states at the Fermi level comes out at 9.34 states/eV/f.u. The calculated volume is 32.965 Å³/atom. For the energy, the calculation gives -3.990 eV per atom. For the formation energy, the calculation gives 0.066 eV/atom. For the total magnetization, the calculation gives 0.767 μB per cell. The offset from the most stable computed form comes out at 17.3 kJ/mol of atoms.

Cell: 5.1095 5.1095 30.6184 Å, 90.00 90.00 120.00°
Space group R-3m (No. 166, hexagonal axes)
Symmetry-distinct sites (fractional):
Dy 0.0000 0.0000 0.0000 x3
Ho 0.0000 0.0000 0.2046 x6
Ho 0.0000 0.0000 0.3892 x6
In 0.0000 0.0000 0.1004 x6